Record 1
Compound: Mg2AlAg
Source: Alexandria
Functional: GGA-PBEsol
Structure: relaxed

Summary:
calculated formation energy: -0.1 eV per formula unit

The structure in CIF format:
```
data_Mg2AlAg
_space_group_name_H-M_alt 'R -3 m'
_space_group_IT_number 166
_space_group_name_Hall '-R 3 2"'
_cell_length_a 3.0444
_cell_length_b 3.0444
_cell_length_c 27.8394
_cell_angle_alpha 90.00
_cell_angle_beta 90.00
_cell_angle_gamma 120.00
loop_
_atom_site_label
_atom_site_type_symbol
_atom_site_fract_x
_atom_site_fract_y
_atom_site_fract_z
Mg1 Mg 0.0000 0.0000 0.2478
Al1 Al 0.0000 0.0000 0.0000
Ag1 Ag 0.0000 0.0000 0.5000
```

Record 2
Compound: V3ZnO8
Source: Alexandria
Functional: GGA-PBEsol
Structure: relaxed

Summary:
raw formation energy: -2.181 eV per atom

The structure in CIF format:
```
data_V3ZnO8
_space_group_name_H-M_alt 'I b a 2'
_space_group_IT_number 45
_space_group_name_Hall 'I 2 -2c'
_cell_length_a 9.7997
_cell_length_b 14.2993
_cell_length_c 8.3632
_cell_angle_alpha 90.00
_cell_angle_beta 90.00
_cell_angle_gamma 90.00
loop_
_atom_site_label
_atom_site_type_symbol
_atom_site_fract_x
_atom_site_fract_y
_atom_site_fract_z
V1 V 0.0553 0.2019 0.0000
V2 V 0.1611 0.3492 0.6908
V3 V 0.1665 0.0222 0.4937
Zn1 Zn 0.1731 0.3434 0.3057
O1 O 0.0103 0.3886 0.7426
O2 O 0.0172 0.0793 0.9855
O3 O 0.0890 0.2669 0.5134
O4 O 0.1452 0.2400 0.8368
O5 O 0.1503 0.2259 0.1649
O6 O 0.2162 0.0795 0.6528
O7 O 0.2258 0.4174 0.5075
O8 O 0.2317 0.0773 0.3334
```

Record 3
Compound: Li2CuF4
Source: Alexandria
Functional: GGA-PBEsol
Structure: relaxed

Summary:
raw formation energy: -2.325 eV per atom
energy relative to the lowest polymorph listed for this composition: 0.1 kJ/mol of atoms

The structure in CIF format:
```
data_Li2CuF4
_space_group_name_H-M_alt 'P 1 21/c 1'
_space_group_IT_number 14
_space_group_name_Hall '-P 2ybc'
_cell_length_a 2.9452
_cell_length_b 9.2763
_cell_length_c 5.4421
_cell_angle_alpha 90.00
_cell_angle_beta 114.78
_cell_angle_gamma 90.00
loop_
_atom_site_label
_atom_site_type_symbol
_atom_site_fract_x
_atom_site_fract_y
_atom_site_fract_z
Li1 Li 0.2469 0.1506 0.4634
Cu1 Cu 0.5000 0.0000 0.0000
F1 F 0.0743 0.5620 0.8008
F2 F 0.4768 0.6760 0.3146
```

Record 4
Compound: BiMo3Rh
Source: Alexandria
Functional: GGA-PBEsol
Structure: relaxed

Summary:
calculated formation energy: 7.6 eV per formula unit

The structure in CIF format:
```
data_BiMo3Rh
_space_group_name_H-M_alt 'P m -3 m'
_space_group_IT_number 221
_space_group_name_Hall '-P 4 2 3'
_cell_length_a 4.7043
_cell_length_b 4.7043
_cell_length_c 4.7043
_cell_angle_alpha 90.00
_cell_angle_beta 90.00
_cell_angle_gamma 90.00
loop_
_atom_site_label
_atom_site_type_symbol
_atom_site_fract_x
_atom_site_fract_y
_atom_site_fract_z
Bi1 Bi 0.0000 0.0000 0.0000
Mo1 Mo 0.0000 0.5000 0.5000
Rh1 Rh 0.5000 0.5000 0.5000
```

Record 5
Compound: Rb2CaMo
Source: Alexandria
Functional: GGA-PBEsol
Structure: relaxed

Summary:
calculated formation energy: 5.9 eV per formula unit

The structure in CIF format:
```
data_Rb2CaMo
_space_group_name_H-M_alt 'F m -3 m'
_space_group_IT_number 225
_space_group_name_Hall '-F 4 2 3'
_cell_length_a 8.9593
_cell_length_b 8.9593
_cell_length_c 8.9593
_cell_angle_alpha 90.00
_cell_angle_beta 90.00
_cell_angle_gamma 90.00
loop_
_atom_site_label
_atom_site_type_symbol
_atom_site_fract_x
_atom_site_fract_y
_atom_site_fract_z
Rb1 Rb 0.2500 0.2500 0.2500
Ca1 Ca 0.0000 0.0000 0.0000
Mo1 Mo 0.0000 0.0000 0.5000
```

Record 6
Compound: LaTcMoSe2
Source: Alexandria
Functional: GGA-PBEsol
Structure: relaxed

Summary:
raw formation energy: 1.768 eV per atom

The structure in CIF format:
```
data_LaTcMoSe2
_space_group_name_H-M_alt 'P 4/m m m'
_space_group_IT_number 123
_space_group_name_Hall '-P 4 2'
_cell_length_a 5.5396
_cell_length_b 5.5396
_cell_length_c 5.0439
_cell_angle_alpha 90.00
_cell_angle_beta 90.00
_cell_angle_gamma 90.00
loop_
_atom_site_label
_atom_site_type_symbol
_atom_site_fract_x
_atom_site_fract_y
_atom_site_fract_z
La1 La 0.0000 0.0000 0.0000
Tc1 Tc 0.5000 0.5000 0.5000
Mo1 Mo 0.0000 0.0000 0.5000
Se1 Se 0.0000 0.5000 0.0000
```

Copy entry 6 word for word.
Compound: LaTcMoSe2
Source: Alexandria
Functional: GGA-PBEsol
Structure: relaxed

Summary:
raw formation energy: 1.768 eV per atom

The structure in CIF format:
```
data_LaTcMoSe2
_space_group_name_H-M_alt 'P 4/m m m'
_space_group_IT_number 123
_space_group_name_Hall '-P 4 2'
_cell_length_a 5.5396
_cell_length_b 5.5396
_cell_length_c 5.0439
_cell_angle_alpha 90.00
_cell_angle_beta 90.00
_cell_angle_gamma 90.00
loop_
_atom_site_label
_atom_site_type_symbol
_atom_site_fract_x
_atom_site_fract_y
_atom_site_fract_z
La1 La 0.0000 0.0000 0.0000
Tc1 Tc 0.5000 0.5000 0.5000
Mo1 Mo 0.0000 0.0000 0.5000
Se1 Se 0.0000 0.5000 0.0000
```